A geometry-optimized Pm2SiPt structure. Source: Alexandria, functional PBE.

**Uncorrected formation energy**: -72 kJ/mol of atoms
**Mass density**: 9.0 g/cm³
**Space group**: Fm-3m (225)

Lattice parameters (Å, degrees): 5.1132 5.1131 5.1129 59.99 59.99 59.99
Atoms (fractional coordinates):
Pm  0.0000  0.0000  0.0000
Pm  0.5000  0.5000  0.5000
Pt  0.2500  0.2500  0.2500
Si  0.7500  0.7500  0.7500



A geometry-optimized Sn2Rh2I structure. Source: Alexandria, functional PBE.

**Uncorrected formation energy**: -10 kJ/mol of atoms
**Mass density**: 9.2 g/cm³
**Space group**: P4/mbm (127)
**Offset from the most stable computed form**: 0.0 kJ/mol of atoms

Lattice parameters (Å, degrees): 7.7132 7.7132 3.4492 90.00 90.00 90.00
Atoms (fractional coordinates):
I  0.0000  0.0000  0.0000
I  0.5000  0.5000  0.0000
Rh  0.6410  0.1410  0.0000
Rh  0.3590  0.8590  0.0000
Rh  0.8590  0.6410  0.0000
Rh  0.1410  0.3590  0.0000
Sn  0.6465  0.8535  0.5000
Sn  0.3535  0.1465  0.5000
Sn  0.1465  0.6465  0.5000
Sn  0.8535  0.3535  0.5000



A geometry-optimized BaBi3Sb structure. Source: Alexandria, functional PBE.

**Uncorrected formation energy**: 4 kJ/mol of atoms
**Mass density**: 7.1 g/cm³
**Space group**: Pm-3m (221)
**Offset from the most stable computed form**: 36.8 kJ/mol of atoms

Lattice parameters (Å, degrees): 5.9309 5.9309 5.9309 90.00 90.00 90.00
Atoms (fractional coordinates):
Sb  0.0000  0.0000  0.0000
Bi  0.0000  0.5000  0.0000
Bi  0.0000  0.0000  0.5000
Bi  0.5000  0.0000  0.0000
Ba  0.5000  0.5000  0.5000



A geometry-optimized Mg2HPd structure. Source: Alexandria, functional PBE.

**Mass density**: 4.5 g/cm³
**Space group**: I-42d (122)
**Offset from the most stable computed form**: 0.7 kJ/mol of atoms

Lattice parameters (Å, degrees): 6.1453 6.1453 5.3232 54.74 54.74 90.00
Atoms (fractional coordinates):
Mg  0.2072  0.6250  0.2500
Mg  0.5428  0.1250  0.2500
Mg  0.8750  0.7928  0.7500
Mg  0.3750  0.4572  0.7500
Pd  0.0000  0.0000  0.0000
Pd  0.7500  0.2500  0.5000
H  0.2500  0.7500  0.5000
H  0.5000  0.5000  0.0000



A geometry-optimized MnTe2Au structure. Source: Alexandria, functional PBE.

**Uncorrected formation energy**: -5 kJ/mol of atoms
**Mass density**: 7.8 g/cm³
**Space group**: Cm (8)
**Offset from the most stable computed form**: 4.0 kJ/mol of atoms

Lattice parameters (Å, degrees): 7.7372 3.8576 7.7393 87.55 69.08 87.58
Last column: magnetic moment on the atom in μB.
Atoms (fractional coordinates):
Te  0.8825  0.8769  0.2783  -0.12
Te  0.3074  0.8773  0.8542  -0.12
Te  0.8720  0.4162  0.8433  -0.08
Te  0.3677  0.3240  0.3390  -0.05
Au  0.0719  0.8972  0.5746  -0.02
Au  0.6029  0.8968  0.0429  -0.02
Mn  0.0798  0.3790  0.0510  2.81
Mn  0.2329  0.8495  0.2047  2.45



A geometry-optimized LiCaOs2 structure. Source: Alexandria, functional PBE.

**Energy of formation**: 510 meV per atom
**Mass density**: 10.2 g/cm³
**Space group**: Pmmm (47)
**Offset from the most stable computed form**: 18.8 kJ/mol of atoms

Lattice parameters (Å, degrees): 2.6305 4.5194 5.8267 90.00 90.00 90.00
Atoms (fractional coordinates):
Li  0.5000  0.5000  0.7500
Os  0.0000  0.0000  0.9526
Os  0.0000  0.0000  0.5474
Ca  0.5000  0.5000  0.2500